Crystalline La5Sc2Cd at its relaxed geometry. Source: the Alexandria database, functional PBE-GGA.

Computed properties:
Density, g cm⁻³: 5.97
Energy of formation from the pure elements, kcal/mol of atoms: -0.111
Uncorrected energy, hartree per atom: -0.1757

Unit cell a=9.234 b=10.396 c=6.949 alpha=90.00 beta=131.59 gamma=90.00
Space group Cm (No. 8)
One atom of each set of equivalent atoms:
La 0.000 0.000 0.000 x2
La 0.020 0.500 0.463 x2
La 0.060 0.000 0.540 x2
La 0.289 0.230 0.000 x4
Sc 0.286 0.251 0.500 x4
Cd 0.066 0.500 0.004 x2